Below is a relaxed structure of HoUCdO6, with properties calculated at the PBE level.

Geometry as POSCAR:
```
HoUCdO6
1.0
4.6112 0.0000 0.0000
0.0000 5.8052 0.0000
0.0000 -2.9026 5.0275
Ho U Cd O
1 1 1 6
direct
0.5000 0.6667 0.3333
0.5000 0.0000 0.0000
0.0000 0.3333 0.6667
0.7300 0.6959 0.6898
0.7300 0.3102 0.0061
0.7300 0.9939 0.3041
0.2700 0.3102 0.3041
0.2700 0.6959 0.0061
0.2700 0.9939 0.6898
```

## Properties
Fermi-level density of states = 8.9 states/eV/cell
ΔE_f (raw) = -2459 meV/atom
total energy = -0.5607 Ry per atom